# 1
Ba2PmPd2O6 (GGA-PBE, optimized geometry); E_form (uncorrected) = -18.1 eV per formula unit; symmetry = R-3m, No. 166; ρ = 5.9 g/cm³; density of states at the Fermi level = 0.680 states/eV per atom
1.0
3.116 1.799 6.109
-3.116 1.799 6.109
0.000 -3.598 6.109
Ba Pm Pd O
2 1 2 6
Direct
0.211 0.211 0.211 Ba
0.789 0.789 0.789 Ba
0.000 0.000 0.000 Pm
0.417 0.417 0.417 Pd
0.583 0.583 0.583 Pd
0.213 0.757 0.757 O
0.243 0.243 0.787 O
0.243 0.787 0.243 O
0.757 0.213 0.757 O
0.757 0.757 0.213 O
0.787 0.243 0.243 O

---

# 2
BaPm4Pd3O12 (GGA-PBE, optimized geometry); E_form (uncorrected) = -39.9 eV per formula unit; symmetry = Im-3, No. 204; ρ = 6.7 g/cm³; density of states at the Fermi level = 0.810 states/eV per atom
1.0
-4.246 4.246 4.246
4.246 -4.246 4.246
4.246 4.246 -4.246
Ba Pm Pd O
1 4 3 12
Direct
0.000 0.000 0.000 Ba
0.000 0.000 0.500 Pm
0.000 0.500 0.000 Pm
0.500 0.000 0.000 Pm
0.500 0.500 0.500 Pm
0.000 0.500 0.500 Pd
0.500 0.000 0.500 Pd
0.500 0.500 0.000 Pd
0.156 0.477 0.321 O
0.156 0.835 0.679 O
0.165 0.321 0.844 O
0.321 0.156 0.477 O
0.321 0.844 0.165 O
0.477 0.321 0.156 O
0.523 0.679 0.844 O
0.679 0.156 0.835 O
0.679 0.844 0.523 O
0.835 0.679 0.156 O
0.844 0.165 0.321 O
0.844 0.523 0.679 O

---

# 3
BaPmPdO4 (GGA-PBE, optimized geometry); E_form (uncorrected) = -13.6 eV per formula unit; symmetry = Imma, No. 74; ρ = 6.1 g/cm³; density of states at the Fermi level = 0.004 states/eV per atom
1.0
-3.362 3.639 5.075
3.362 -3.639 5.075
3.362 3.639 -5.075
Ba Pm Pd O
2 2 2 8
Direct
0.396 0.146 0.250 Ba
0.604 0.854 0.750 Ba
0.000 0.500 0.500 Pm
0.500 0.500 0.000 Pm
0.000 0.000 0.500 Pd
0.000 0.500 0.000 Pd
0.165 0.736 0.429 O
0.193 0.264 0.929 O
0.251 0.285 0.534 O
0.251 0.717 0.966 O
0.749 0.283 0.034 O
0.749 0.715 0.466 O
0.807 0.736 0.071 O
0.835 0.264 0.571 O